3
Lattice="0.000 3.003 3.003 3.003 0.000 3.003 3.003 3.003 0.000" Properties=species:S:1:pos:R:3 comment="FeWBr, relaxed, DFT PBE" e_tot_ev_per_cell=-19.27 polymorph_energy_ev_per_atom=0.6643 spacegroup="F-43m, No. 216" formation_energy_uncorrected_ev_per_atom=1.273 pbc="T T T"
Fe 0.000 0.000 0.000
W 1.502 1.502 1.502
Br 3.003 3.003 3.003